Compound: Cr3Re2
Source: Alexandria via LeMat-Bulk
Functional: PBE
Structure: optimized geometry

Cell: 8.960 8.960 4.923 Å, 90.00 90.00 90.00°
Element x y z (fractional)
Cr 0.000 0.000 0.000
Cr 0.033 0.379 0.500
Cr 0.062 0.258 0.000
Cr 0.121 0.533 0.000
Cr 0.242 0.562 0.500
Cr 0.258 0.062 0.000
Cr 0.379 0.033 0.500
Cr 0.438 0.758 0.500
Cr 0.467 0.879 0.000
Cr 0.500 0.500 0.500
Cr 0.533 0.121 0.000
Cr 0.562 0.242 0.500
Cr 0.621 0.967 0.500
Cr 0.742 0.938 0.000
Cr 0.758 0.438 0.500
Cr 0.879 0.467 0.000
Cr 0.938 0.742 0.000
Cr 0.967 0.621 0.500
Re 0.106 0.106 0.500
Re 0.185 0.815 0.251
Re 0.185 0.815 0.749
Re 0.315 0.315 0.249
Re 0.315 0.315 0.751
Re 0.394 0.606 0.000
Re 0.606 0.394 0.000
Re 0.685 0.685 0.249
Re 0.685 0.685 0.751
Re 0.815 0.185 0.251
Re 0.815 0.185 0.749
Re 0.894 0.894 0.500

symmetry: No. 136
ΔH_f (0 K): 52 meV/atom
ρ: 13.3 g/cm³
magnetic moment: 0.0 μB per formula unit
energy: -10.70 eV/atom